The following is a DFT calculation (PBE) of a relaxed structure of BaMgPb2.

Calculated values
The calculated total energy comes out at -2.93 eV/atom. Its theoretical density is 6.90 Mg/m³.

abc: 3.8343 5.7464 6.2961
angles: 90.00 90.34 90.00
Element x y z (fractional)
Ba  0.0000  0.0000  0.0000
Mg  0.5120  0.5000  0.2868
Pb  0.4949  0.5000  0.7775
Pb  0.4973  0.0000  0.5002